No. 1
# CrAs2W

An optimized crystal structure of CrAs2W (PBE, Alexandria).

a = 4.374 Å, b = 4.374 Å, c = 3.103 Å
α = 90.00°, β = 90.00°, γ = 90.00°
Positions (direct):
Cr 0.000 0.000 0.000
As 0.000 0.500 0.500
As 0.500 0.000 0.500
W 0.500 0.500 0.000

Values from the calculation:
Total moment, μB per cell: 1.743
Volume, Å³/f.u.: 59.4
ΔE_f, meV/atom: 190.6

No. 2
# CrAs2W

An optimized crystal structure of CrAs2W (PBE, Alexandria).

a = 6.100 Å, b = 6.100 Å, c = 6.100 Å
α = 148.12°, β = 148.11°, γ = 45.72°
Positions (direct):
Cr 0.000 0.000 0.000
As 0.571 0.571 0.000
As 0.834 0.334 0.500
W 0.241 0.741 0.500

Values from the calculation:
Total moment, μB per cell: 1.834
Volume, Å³/f.u.: 63.1
ΔE_f, meV/atom: -1.1

No. 3
# Cr2AsW

An optimized crystal structure of Cr2AsW (PBE, Alexandria).

a = 4.255 Å, b = 4.255 Å, c = 4.255 Å
α = 60.00°, β = 60.00°, γ = 60.00°
Positions (direct):
Cr 0.000 0.000 0.000
Cr 0.250 0.250 0.250
As 0.750 0.750 0.750
W 0.500 0.500 0.500

Values from the calculation:
Total moment, μB per cell: 0.441
Volume, Å³/f.u.: 54.5
ΔE_f, meV/atom: 323.5

No. 4
# CrAs2W

An optimized crystal structure of CrAs2W (PBE, Alexandria).

a = 3.021 Å, b = 3.021 Å, c = 7.603 Å
α = 90.00°, β = 90.00°, γ = 112.74°
Positions (direct):
Cr 0.000 0.000 0.000
As 0.500 0.500 0.240
As 0.500 0.500 0.760
W 0.000 0.000 0.500

Values from the calculation:
Total moment, μB per cell: 2.617
Volume, Å³/f.u.: 64.0
ΔE_f, meV/atom: 436.7

No. 5
# CrAs2W

An optimized crystal structure of CrAs2W (PBE, Alexandria).

a = 4.447 Å, b = 4.447 Å, c = 4.447 Å
α = 60.00°, β = 60.00°, γ = 60.00°
Positions (direct):
Cr 0.000 0.000 0.000
As 0.500 0.500 0.500
As 0.750 0.750 0.750
W 0.250 0.250 0.250

Values from the calculation:
Total moment, μB per cell: 1.667
Volume, Å³/f.u.: 62.2
ΔE_f, meV/atom: 546.2

No. 6
# CrAsW4

An optimized crystal structure of CrAsW4 (PBE, Alexandria).

a = 5.275 Å, b = 5.275 Å, c = 5.275 Å
α = 60.00°, β = 60.00°, γ = 60.00°
Positions (direct):
Cr 0.000 0.000 0.000
As 0.250 0.250 0.250
W 0.125 0.625 0.625
W 0.625 0.125 0.625
W 0.625 0.625 0.125
W 0.625 0.625 0.625

Values from the calculation:
Total moment, μB per cell: 1.886
Volume, Å³/f.u.: 103.8
ΔE_f, meV/atom: 813.4

No. 7
# Cr2AsW

An optimized crystal structure of Cr2AsW (PBE, Alexandria).

a = 8.381 Å, b = 8.381 Å, c = 8.381 Å
α = 19.38°, β = 19.38°, γ = 19.38°
Positions (direct):
Cr 0.000 0.000 0.000
Cr 0.265 0.265 0.265
As 0.750 0.750 0.750
W 0.509 0.509 0.509

Values from the calculation:
Total moment, μB per cell: 0.000
Volume, Å³/f.u.: 56.7
ΔE_f, meV/atom: 391.2

No. 8
# CrAs2W

An optimized crystal structure of CrAs2W (PBE, Alexandria).

a = 4.620 Å, b = 4.620 Å, c = 4.494 Å
α = 105.61°, β = 105.61°, γ = 40.13°
Positions (direct):
Cr 0.000 0.000 0.000
As 0.497 0.497 0.480
As 0.733 0.733 0.124
W 0.239 0.239 0.633

Values from the calculation:
Total moment, μB per cell: 0.018
Volume, Å³/f.u.: 59.2
ΔE_f, meV/atom: 106.5

No. 9
# CrAsW2

An optimized crystal structure of CrAsW2 (PBE, Alexandria).

a = 3.160 Å, b = 3.160 Å, c = 5.941 Å
α = 90.00°, β = 90.00°, γ = 90.00°
Positions (direct):
Cr 0.000 0.000 0.000
As 0.500 0.500 0.749
W 0.000 0.000 0.511
W 0.500 0.500 0.214

Values from the calculation:
Total moment, μB per cell: 0.734
Volume, Å³/f.u.: 59.3
ΔE_f, meV/atom: 214.6

No. 10
# Cr2AsW

An optimized crystal structure of Cr2AsW (PBE, Alexandria).

a = 2.760 Å, b = 2.760 Å, c = 7.819 Å
α = 90.00°, β = 90.00°, γ = 110.40°
Positions (direct):
Cr 0.000 0.000 0.241
Cr 0.000 0.000 0.759
As 0.500 0.500 0.000
W 0.500 0.500 0.500

Values from the calculation:
Total moment, μB per cell: 0.011
Volume, Å³/f.u.: 55.8
ΔE_f, meV/atom: 257.9

No. 11
# CrAsW2

An optimized crystal structure of CrAsW2 (PBE, Alexandria).

a = 3.187 Å, b = 4.192 Å, c = 4.475 Å
α = 90.00°, β = 90.00°, γ = 90.00°
Positions (direct):
Cr 0.000 0.000 0.000
As 0.500 0.000 0.500
W 0.000 0.500 0.500
W 0.500 0.500 0.000

Values from the calculation:
Total moment, μB per cell: 1.170
Volume, Å³/f.u.: 59.8
ΔE_f, meV/atom: 328.5

No. 12
# Cr2AsW

An optimized crystal structure of Cr2AsW (PBE, Alexandria).

a = 4.922 Å, b = 4.922 Å, c = 4.109 Å
α = 114.49°, β = 114.49°, γ = 37.11°
Positions (direct):
Cr 0.247 0.247 0.246
Cr 0.753 0.753 0.754
As 0.500 0.500 0.000
W 0.000 0.000 0.500

Values from the calculation:
Total moment, μB per cell: 0.000
Volume, Å³/f.u.: 54.0
ΔE_f, meV/atom: 218.5

No. 13
# CrAsW2

An optimized crystal structure of CrAsW2 (PBE, Alexandria).

a = 5.008 Å, b = 5.008 Å, c = 2.834 Å
α = 101.10°, β = 101.10°, γ = 114.08°
Positions (direct):
Cr 0.000 0.000 0.000
As 0.500 0.500 0.000
W 0.000 0.500 0.500
W 0.500 0.000 0.500

Values from the calculation:
Total moment, μB per cell: 1.571
Volume, Å³/f.u.: 60.7
ΔE_f, meV/atom: 431.5

No. 14
# CrAsW2

An optimized crystal structure of CrAsW2 (PBE, Alexandria).

a = 8.504 Å, b = 8.504 Å, c = 8.504 Å
α = 19.71°, β = 19.71°, γ = 19.71°
Positions (direct):
Cr 0.000 0.000 0.000
As 0.500 0.500 0.500
W 0.254 0.254 0.254
W 0.746 0.746 0.746

Values from the calculation:
Total moment, μB per cell: 0.000
Volume, Å³/f.u.: 61.2
ΔE_f, meV/atom: 476.4

No. 15
# Cr2AsW

An optimized crystal structure of Cr2AsW (PBE, Alexandria).

a = 3.099 Å, b = 3.099 Å, c = 5.780 Å
α = 90.00°, β = 90.00°, γ = 90.00°
Positions (direct):
Cr 0.000 0.000 0.000
Cr 0.500 0.500 0.202
As 0.500 0.500 0.740
W 0.000 0.000 0.493

Values from the calculation:
Total moment, μB per cell: 0.975
Volume, Å³/f.u.: 55.5
ΔE_f, meV/atom: 200.8

No. 16
# CrAs2W

An optimized crystal structure of CrAs2W (PBE, Alexandria).

a = 6.932 Å, b = 6.932 Å, c = 6.932 Å
α = 131.22°, β = 131.22°, γ = 71.46°
Positions (direct):
Cr 0.000 0.000 0.000
Cr 0.750 0.250 0.500
As 0.128 0.625 0.003
As 0.375 0.378 0.503
As 0.622 0.125 0.997
As 0.875 0.872 0.497
W 0.250 0.750 0.500
W 0.500 0.500 0.000

Values from the calculation:
Total moment, μB per cell: 9.182
Volume, Å³/f.u.: 92.2
ΔE_f, meV/atom: 589.9

No. 17
# CrAsW2

An optimized crystal structure of CrAsW2 (PBE, Alexandria).

a = 8.432 Å, b = 8.432 Å, c = 8.432 Å
α = 19.97°, β = 19.97°, γ = 19.97°
Positions (direct):
Cr 0.000 0.000 0.000
As 0.255 0.255 0.255
W 0.502 0.502 0.502
W 0.743 0.743 0.743

Values from the calculation:
Total moment, μB per cell: 0.000
Volume, Å³/f.u.: 61.1
ΔE_f, meV/atom: 404.2

No. 18
# CrAs2W

An optimized crystal structure of CrAs2W (PBE, Alexandria).

a = 7.871 Å, b = 7.871 Å, c = 7.871 Å
α = 22.03°, β = 22.03°, γ = 22.03°
Positions (direct):
Cr 0.000 0.000 0.000
As 0.255 0.255 0.255
As 0.745 0.745 0.745
W 0.500 0.500 0.500

Values from the calculation:
Total moment, μB per cell: 0.581
Volume, Å³/f.u.: 60.1
ΔE_f, meV/atom: 331.3

No. 19
# CrAsW2

An optimized crystal structure of CrAsW2 (PBE, Alexandria).

a = 2.792 Å, b = 4.226 Å, c = 5.264 Å
α = 90.00°, β = 103.67°, γ = 90.00°
Positions (direct):
Cr 0.000 0.000 0.000
As 0.500 0.000 0.500
W 0.257 0.500 0.757
W 0.743 0.500 0.243

Values from the calculation:
Total moment, μB per cell: 1.144
Volume, Å³/f.u.: 60.3
ΔE_f, meV/atom: 372.2

No. 20
# CrAsW2

An optimized crystal structure of CrAsW2 (PBE, Alexandria).

a = 4.372 Å, b = 4.372 Å, c = 3.123 Å
α = 90.00°, β = 90.00°, γ = 98.19°
Positions (direct):
Cr 0.000 0.000 0.000
As 0.500 0.500 0.000
W 0.000 0.500 0.500
W 0.500 0.000 0.500

Values from the calculation:
Total moment, μB per cell: 0.779
Volume, Å³/f.u.: 59.1
ΔE_f, meV/atom: 374.5